Record 1
This record from Alexandria via LeMat-Bulk describes a relaxed structure of Na2SmUSe4. The functional is PBE.

For the energy, the calculation gives -5.4946 eV/atom. As for the size of the total moment: 3.01 μB per cell.

Cell and atoms, written as CIF:
```
data_Na2SmUSe4
_chemical_formula_sum 'Na2 Sm1 U1 Se4'
_cell_length_a 7.262
_cell_length_b 4.192
_cell_length_c 7.443
_cell_angle_alpha 90.00
_cell_angle_beta 108.99
_cell_angle_gamma 90.00
_symmetry_space_group_name_H-M 'P 1 2/m 1'
_symmetry_Int_Tables_number 10
loop_
_symmetry_equiv_pos_as_xyz
'x,y,z'
'-x,-y,-z'
'-x,y,-z'
'x,-y,z'
loop_
_atom_site_label
_atom_site_type_symbol
_atom_site_fract_x
_atom_site_fract_y
_atom_site_fract_z
Na1 Na 0.000 0.000 0.000
Na2 Na 0.500 0.500 0.000
Sm1 Sm 0.000 0.500 0.500
U1 U 0.500 0.000 0.500
Se1 Se 0.248 0.000 0.735
Se2 Se 0.259 0.500 0.267
```

***

Record 2
This record from Alexandria via LeMat-Bulk describes a relaxed structure of Na3Sm2USe6. The functional is PBE.

For the energy, the calculation gives -5.3052 eV/atom. As for the size of the total moment: 6.00 μB per cell.

Cell and atoms, written as CIF:
```
data_Na3Sm2USe6
_chemical_formula_sum 'Na6 Sm4 U2 Se12'
_cell_length_a 7.297
_cell_length_b 12.637
_cell_length_c 7.444
_cell_angle_alpha 90.00
_cell_angle_beta 109.10
_cell_angle_gamma 90.00
_symmetry_space_group_name_H-M 'C 1 2/m 1'
_symmetry_Int_Tables_number 12
loop_
_symmetry_equiv_pos_as_xyz
'x,y,z'
'-x,-y,-z'
'-x,y,-z'
'x,-y,z'
'x+1/2,y+1/2,z'
'-x+1/2,-y+1/2,-z'
'-x+1/2,y+1/2,-z'
'x+1/2,-y+1/2,z'
loop_
_atom_site_label
_atom_site_type_symbol
_atom_site_fract_x
_atom_site_fract_y
_atom_site_fract_z
Na1 Na 0.000 0.000 0.000
Na2 Na 0.000 0.332 0.000
Sm1 Sm 0.000 0.166 0.500
U1 U 0.000 0.500 0.500
Se1 Se 0.244 0.335 0.735
Se2 Se 0.248 0.000 0.735
```

***

Record 3
This record from Alexandria via LeMat-Bulk describes a relaxed structure of NaSm3Y2Se6. The functional is PBE.

For the energy, the calculation gives -5.8792 eV/atom. As for the size of the total moment: 0.00 μB per cell.

Cell and atoms, written as CIF:
```
data_NaSm3Y2Se6
_chemical_formula_sum 'Na2 Sm6 Y4 Se12'
_cell_length_a 7.153
_cell_length_b 12.404
_cell_length_c 7.214
_cell_angle_alpha 90.00
_cell_angle_beta 109.40
_cell_angle_gamma 90.00
_symmetry_space_group_name_H-M 'C 1 2/m 1'
_symmetry_Int_Tables_number 12
loop_
_symmetry_equiv_pos_as_xyz
'x,y,z'
'-x,-y,-z'
'-x,y,-z'
'x,-y,z'
'x+1/2,y+1/2,z'
'-x+1/2,-y+1/2,-z'
'-x+1/2,y+1/2,-z'
'x+1/2,-y+1/2,z'
loop_
_atom_site_label
_atom_site_type_symbol
_atom_site_fract_x
_atom_site_fract_y
_atom_site_fract_z
Na1 Na 0.000 0.000 0.000
Sm1 Sm 0.000 0.163 0.500
Sm2 Sm 0.000 0.500 0.500
Y1 Y 0.000 0.334 0.000
Se1 Se 0.247 0.500 0.239
Se2 Se 0.249 0.167 0.245
```

***

Record 4
This record from Alexandria via LeMat-Bulk describes a relaxed structure of Na4SmY3Se8. The functional is PBE.

For the energy, the calculation gives -5.2884 eV/atom. As for the size of the total moment: 0.00 μB per cell.

Cell and atoms, written as CIF:
```
data_Na4SmY3Se8
_chemical_formula_sum 'Na12 Sm3 Y9 Se24'
_cell_length_a 8.3398
_cell_length_b 8.3398
_cell_length_c 21.0392
_cell_angle_alpha 90.00
_cell_angle_beta 90.00
_cell_angle_gamma 120.00
_symmetry_space_group_name_H-M 'R -3 m'
_symmetry_Int_Tables_number 166
_symmetry_space_group_name_Hall '-R 3 2"'
loop_
_atom_site_label
_atom_site_type_symbol
_atom_site_fract_x
_atom_site_fract_y
_atom_site_fract_z
Na1 Na 0.0000 0.0000 0.0000
Na2 Na 0.0000 0.5000 0.0000
Sm1 Sm 0.0000 0.0000 0.5000
Y1 Y 0.0000 0.5000 0.5000
Se1 Se 0.0000 0.0000 0.2431
Se2 Se 0.0042 0.5021 0.7562
```

***

Record 5
This record from Alexandria via LeMat-Bulk describes a relaxed structure of NaSmY4Se8. The functional is PBE.

For the energy, the calculation gives -6.0458 eV/atom. As for the size of the total moment: 0.00 μB per cell.

Cell and atoms, written as CIF:
```
data_NaSmY4Se8
_chemical_formula_sum 'Na3 Sm3 Y12 Se24'
_cell_length_a 8.4749
_cell_length_b 8.4749
_cell_length_c 20.9490
_cell_angle_alpha 90.00
_cell_angle_beta 90.00
_cell_angle_gamma 120.00
_symmetry_space_group_name_H-M 'R 3 m'
_symmetry_Int_Tables_number 160
_symmetry_space_group_name_Hall 'R 3 -2"'
loop_
_atom_site_label
_atom_site_type_symbol
_atom_site_fract_x
_atom_site_fract_y
_atom_site_fract_z
Na1 Na 0.0000 0.0000 0.0000
Sm1 Sm 0.0000 0.0000 0.6311
Y1 Y 0.0000 0.0000 0.2519
Y2 Y 0.1731 0.3463 0.4581
Se1 Se 0.0000 0.0000 0.3846
Se2 Se 0.0000 0.0000 0.8660
Se3 Se 0.0236 0.5118 0.3812
Se4 Se 0.1760 0.3520 0.2056
```

***

Record 6
This record from Alexandria via LeMat-Bulk describes a relaxed structure of NaSm2YSe4. The functional is PBE.

For the energy, the calculation gives -5.6472 eV/atom. As for the size of the total moment: 0.00 μB per cell.

Cell and atoms, written as CIF:
```
data_NaSm2YSe4
_chemical_formula_sum 'Na1 Sm2 Y1 Se4'
_cell_length_a 7.208
_cell_length_b 4.136
_cell_length_c 7.211
_cell_angle_alpha 90.00
_cell_angle_beta 109.07
_cell_angle_gamma 90.00
_symmetry_space_group_name_H-M 'P 1 2/m 1'
_symmetry_Int_Tables_number 10
loop_
_symmetry_equiv_pos_as_xyz
'x,y,z'
'-x,-y,-z'
'-x,y,-z'
'x,-y,z'
loop_
_atom_site_label
_atom_site_type_symbol
_atom_site_fract_x
_atom_site_fract_y
_atom_site_fract_z
Na1 Na 0.000 0.000 0.000
Sm1 Sm 0.500 0.000 0.500
Sm2 Sm 0.500 0.500 0.000
Y1 Y 0.000 0.500 0.500
Se1 Se 0.243 0.000 0.747
Se2 Se 0.248 0.500 0.253
```

***

Record 7
This record from Alexandria via LeMat-Bulk describes a relaxed structure of Na4Sm3YSe8. The functional is PBE.

For the energy, the calculation gives -5.0599 eV/atom. As for the size of the total moment: 0.00 μB per cell.

Cell and atoms, written as CIF:
```
data_Na4Sm3YSe8
_chemical_formula_sum 'Na12 Sm9 Y3 Se24'
_cell_length_a 8.4249
_cell_length_b 8.4249
_cell_length_c 21.0390
_cell_angle_alpha 90.00
_cell_angle_beta 90.00
_cell_angle_gamma 120.00
_symmetry_space_group_name_H-M 'R -3 m'
_symmetry_Int_Tables_number 166
_symmetry_space_group_name_Hall '-R 3 2"'
loop_
_atom_site_label
_atom_site_type_symbol
_atom_site_fract_x
_atom_site_fract_y
_atom_site_fract_z
Na1 Na 0.0000 0.0000 0.0000
Na2 Na 0.0000 0.5000 0.0000
Sm1 Sm 0.0000 0.5000 0.5000
Y1 Y 0.0000 0.0000 0.5000
Se1 Se 0.0000 0.0000 0.2448
Se2 Se 0.0043 0.5021 0.2441
```

***

Record 8
This record from Alexandria via LeMat-Bulk describes a relaxed structure of Na2SmYSe4. The functional is PBE.

For the energy, the calculation gives -5.1737 eV/atom. As for the size of the total moment: 0.00 μB per cell.

Cell and atoms, written as CIF:
```
data_Na2SmYSe4
_chemical_formula_sum 'Na2 Sm1 Y1 Se4'
_cell_length_a 7.256
_cell_length_b 4.190
_cell_length_c 7.423
_cell_angle_alpha 90.00
_cell_angle_beta 109.03
_cell_angle_gamma 90.00
_symmetry_space_group_name_H-M 'P 1 2/m 1'
_symmetry_Int_Tables_number 10
loop_
_symmetry_equiv_pos_as_xyz
'x,y,z'
'-x,-y,-z'
'-x,y,-z'
'x,-y,z'
loop_
_atom_site_label
_atom_site_type_symbol
_atom_site_fract_x
_atom_site_fract_y
_atom_site_fract_z
Na1 Na 0.000 0.000 0.000
Na2 Na 0.500 0.500 0.000
Sm1 Sm 0.000 0.500 0.500
Y1 Y 0.500 0.000 0.500
Se1 Se 0.249 0.000 0.733
Se2 Se 0.261 0.500 0.269
```